Density functional theory data (PBE-GGA) for a geometry-optimized LiAlPb2 structure.

a b c (Å): 3.7684 4.6751 5.7340
angles (deg): 90.00 105.85 90.00
Space group Pm (No. 6)
One atom of each set of equivalent atoms:
Li  0.0000  0.0000  0.0000 (multiplicity 1)
Al  0.8724  0.5000  0.6875 (multiplicity 1)
Pb  0.3154  0.0000  0.5501 (multiplicity 1)
Pb  0.5544  0.5000  0.1305 (multiplicity 1)

E_tot: -13.05 eV for the cell shown

---

Density functional theory data (PBE-GGA) for a geometry-optimized Nd2AgAs4Rh3 structure.

a b c (Å): 4.3623 4.3623 10.0914
angles (deg): 90.00 90.00 90.00
Space group P-4m2 (No. 115)
One atom of each set of equivalent atoms:
Nd  0.0000  0.5000  0.2432 (multiplicity 2)
Ag  0.0000  0.0000  0.5000 (multiplicity 1)
As  0.0000  0.0000  0.0000 (multiplicity 1)
As  0.0000  0.5000  0.6442 (multiplicity 2)
As  0.5000  0.5000  0.0000 (multiplicity 1)
Rh  0.0000  0.5000  0.8850 (multiplicity 2)
Rh  0.5000  0.5000  0.5000 (multiplicity 1)

E_tot: -61.08 eV for the cell shown

---

Density functional theory data (PBE-GGA) for a geometry-optimized KHfNbBiO6 structure.

a b c (Å): 8.2161 8.2161 8.2161
angles (deg): 90.00 90.00 90.00
Space group F-43m (No. 216)
One atom of each set of equivalent atoms:
K  0.0000  0.0000  0.0000 (multiplicity 4)
Hf  0.2500  0.2500  0.2500 (multiplicity 4)
Nb  0.2500  0.2500  0.7500 (multiplicity 4)
Bi  0.0000  0.0000  0.5000 (multiplicity 4)
O  0.0037  0.2500  0.7500 (multiplicity 24)

Raw formation energy: -2.31 eV/atom

---

Density functional theory data (PBE-GGA) for a geometry-optimized In4Hg structure.

a b c (Å): 5.5708 5.5708 5.5708
angles (deg): 90.00 90.00 90.00
Space group Pm-3m (No. 221)
One atom of each set of equivalent atoms:
In  0.0000  0.0000  0.0000 (multiplicity 1)
In  0.0000  0.5000  0.5000 (multiplicity 3)
Hg  0.5000  0.5000  0.5000 (multiplicity 1)

Offset from the most stable computed form: 327 meV/atom

---

Density functional theory data (PBE-GGA) for a geometry-optimized Ca2MnOs structure.

a b c (Å): 4.8673 4.8673 6.9150
angles (deg): 90.00 90.00 90.00
Space group I-4m2 (No. 119)
One atom of each set of equivalent atoms:
Ca  0.0000  0.0000  0.0000 (multiplicity 2)
Ca  0.0000  0.5000  0.2500 (multiplicity 2)
Mn  0.0000  0.5000  0.7500 (multiplicity 2)
Os  0.0000  0.0000  0.5000 (multiplicity 2)

Offset from the most stable computed form: 218 meV/atom

---

Density functional theory data (PBE-GGA) for a geometry-optimized Nd5AlIn4 structure.

a b c (Å): 3.8380 3.8380 19.3430
angles (deg): 90.00 90.00 90.00
Space group P4/mmm (No. 123)
One atom of each set of equivalent atoms:
Nd  0.0000  0.0000  0.0000 (multiplicity 1)
Nd  0.0000  0.0000  0.2044 (multiplicity 2)
Nd  0.0000  0.0000  0.4067 (multiplicity 2)
Al  0.5000  0.5000  0.5000 (multiplicity 1)
In  0.5000  0.5000  0.1021 (multiplicity 2)
In  0.5000  0.5000  0.3055 (multiplicity 2)

E_tot: -43.18 eV for the cell shown

---

Number 1: calculated volume 97 Å³ per cell. Number 2: calculated volume 192 Å³ per cell. Number 3: calculated volume 555 Å³ per cell. Number 4: calculated volume 173 Å³ per cell. Number 5: calculated volume 164 Å³ per cell. Number 6: calculated volume 285 Å³ per cell.